Compound: Dy4H2Pb3
Source: the Alexandria database
Functional: GGA-PBE
Structure: optimized geometry Values from VASP.

The structure in Quantum ESPRESSO input format:
```
&SYSTEM
  ibrav = 0, nat = 18, ntyp = 3
/
ATOMIC_SPECIES
Dy 162.50 Dy.upf
H 1.01 H.upf
Pb 207.20 Pb.upf
CELL_PARAMETERS angstrom
6.777 -4.824 0.000
6.777 4.824 0.000
-1.562 0.000 6.375
ATOMIC_POSITIONS crystal
Dy 0.116 0.657 0.967
Dy 0.229 0.381 0.407
Dy 0.343 0.884 0.533
Dy 0.381 0.229 0.907
Dy 0.619 0.771 0.093
Dy 0.657 0.116 0.467
Dy 0.771 0.619 0.593
Dy 0.884 0.343 0.033
H 0.140 0.407 0.066
H 0.407 0.140 0.566
H 0.593 0.860 0.434
H 0.860 0.593 0.934
Pb 0.002 0.220 0.564
Pb 0.220 0.002 0.064
Pb 0.490 0.510 0.750
Pb 0.510 0.490 0.250
Pb 0.780 0.998 0.936
Pb 0.998 0.780 0.436
```

crystal system	monoclinic
size of the total moment	0.00	μB/cell
VASP energy	-4.536	eV per atom